No. 1
VASP calculation (GGA-PBEsol) on a relaxed structure of RbV2SbO8.

Output
Crystal system   orthorhombic
Space group   Pnma (62)
ΔE_f (raw)   -2.0721 eV per atom
Magnetic moment   0.00 μB/f.u.
Raw total energy   -366.8 eV for the cell shown

Cell lengths 5.5697, 8.7414, 14.8937 Å; angles 90.00, 90.00, 90.00 degrees
Positions (direct):
O1 0.2500 0.1824 0.1087
V1 0.7500 0.7053 0.9774
O2 0.5024 0.2604 0.4580
O3 0.0078 0.6004 0.2104
O4 0.9922 0.3996 0.7896
V2 0.7500 0.0153 0.7169
O5 0.2500 0.6216 0.6831
V3 0.2500 0.9847 0.2831
O6 0.4976 0.7396 0.5420
Rb1 0.7500 0.0537 0.1129
O7 0.9922 0.1004 0.2896
O8 0.0078 0.8996 0.7104
O9 0.0024 0.7604 0.0420
O10 0.7500 0.1283 0.6321
O11 0.7500 0.9843 0.4474
O12 0.5078 0.3996 0.7896
Sb1 0.7500 0.1755 0.3763
V4 0.2500 0.5153 0.7831
V5 0.7500 0.7947 0.4774
O13 0.2500 0.6283 0.8679
O14 0.7500 0.5157 0.9474
O15 0.7500 0.3784 0.3169
O16 0.4976 0.7604 0.0420
O17 0.9976 0.2604 0.4580
V6 0.2500 0.2053 0.5226
O18 0.2500 0.4843 0.0526
O19 0.5078 0.1004 0.2896
O20 0.2500 0.8784 0.1831
Rb2 0.7500 0.4463 0.6129
O21 0.2500 0.0157 0.5526
O22 0.9976 0.2396 0.9580
O23 0.4922 0.6004 0.2104
O24 0.0024 0.7396 0.5420
O25 0.7500 0.1216 0.8169
Sb2 0.7500 0.3245 0.8763
O26 0.7500 0.3717 0.1321
Rb3 0.2500 0.9463 0.8871
O27 0.5024 0.2396 0.9580
O28 0.4922 0.8996 0.7104
O29 0.2500 0.8717 0.3679
O30 0.7500 0.6824 0.3913
O31 0.2500 0.3176 0.6087
Rb4 0.2500 0.5537 0.3871
Sb3 0.2500 0.6755 0.1237
Sb4 0.2500 0.8245 0.6237
O32 0.7500 0.8176 0.8913
V7 0.7500 0.4847 0.2169
V8 0.2500 0.2947 0.0226

No. 2
VASP calculation (GGA-PBEsol) on a relaxed structure of RbSbWO6.

Output
Crystal system   orthorhombic
Space group   Ima2 (46)
ΔE_f (raw)   -1.9194 eV per atom
Magnetic moment   0.00 μB/f.u.
Raw total energy   -136.3 eV for the cell shown

Cell lengths 7.2173, 7.2866, 7.2866 Å; angles 61.08, 60.31, 60.31 degrees
Positions (direct):
O1 0.5658 0.6757 0.0671
O2 0.8106 0.3153 0.9380
W1 0.4923 0.0271 0.4883
Rb1 0.8874 0.4061 0.3191
O3 0.8275 0.9135 0.9315
O4 0.8087 0.9329 0.3243
Rb2 0.1126 0.6809 0.5939
O5 0.5639 0.0620 0.6847
W2 0.5077 0.5117 0.9729
O6 0.1725 0.0685 0.0865
O7 0.4342 0.9329 0.3243
O8 0.4361 0.3153 0.9380
Sb1 0.0000 0.9954 0.0046
O9 0.4393 0.3135 0.3078
O10 0.1913 0.6757 0.0671
O11 0.1894 0.0620 0.6847
O12 0.5607 0.6922 0.6865
Sb2 0.5000 0.9954 0.0046

What is the magnetic moment in the first record? 0.00 μB/f.u.